The following is a DFT calculation (PBE-GGA) of RbAlI3 after structural relaxation.

Structure (POSCAR):
```
RbAlI3
1.0
8.512 0.000 0.000
0.000 9.661 0.000
-7.894 0.000 11.812
Rb Al I
4 4 12
direct
0.214 0.128 0.252 Rb
0.214 0.372 0.752 Rb
0.786 0.628 0.248 Rb
0.786 0.872 0.748 Rb
0.119 0.594 0.058 Al
0.119 0.906 0.558 Al
0.881 0.094 0.442 Al
0.881 0.406 0.942 Al
0.060 0.191 0.929 I
0.060 0.309 0.429 I
0.290 0.687 0.964 I
0.290 0.813 0.464 I
0.375 0.513 0.264 I
0.375 0.987 0.764 I
0.625 0.013 0.236 I
0.625 0.487 0.736 I
0.710 0.187 0.536 I
0.710 0.313 0.036 I
0.940 0.691 0.571 I
0.940 0.809 0.071 I
```

E: -2.86 eV/atom
Energy relative to the elements, uncorrected: -0.991 eV/atom
Offset from the most stable computed form: 0 meV/atom
Magnetic moment: 0.000 Bohr magnetons per cell

---

The following is a DFT calculation (PBE-GGA) of Nd2ThTe2Se2 after structural relaxation.

Structure (POSCAR):
```
Nd2ThTe2Se2
1.0
-2.774 2.774 7.930
2.774 -2.774 7.930
2.774 2.774 -7.930
Nd Th Te Se
2 1 2 2
direct
0.111 0.111 0.000 Nd
0.889 0.889 0.000 Nd
0.500 0.500 0.000 Th
0.308 0.308 0.000 Te
0.692 0.692 0.000 Te
0.000 0.500 0.500 Se
0.500 0.000 0.500 Se
```

E: -5.47 eV/atom
Energy relative to the elements, uncorrected: -1.154 eV/atom
Magnetic moment: 0.547 Bohr magnetons per cell

---

The following is a DFT calculation (PBE-GGA) of Ba2P after structural relaxation.

Structure (POSCAR):
```
Ba2P
1.0
8.051 -2.146 0.000
8.051 2.146 0.000
-3.261 0.000 7.972
Ba P
4 2
direct
0.015 0.015 0.211 Ba
0.271 0.271 0.224 Ba
0.729 0.729 0.776 Ba
0.985 0.985 0.789 Ba
0.373 0.373 0.965 P
0.627 0.627 0.035 P
```

E: -3.84 eV/atom
Magnetic moment: 0.580 Bohr magnetons per cell
E_form: -2.3 eV per formula unit

---

The following is a DFT calculation (PBE-GGA) of TbTl5I8 after structural relaxation.

Structure (POSCAR):
```
TbTl5I8
1.0
-5.212 5.212 5.286
5.212 -5.212 5.286
5.212 5.212 -5.286
Tb Tl I
1 5 8
direct
0.000 0.000 0.000 Tb
0.149 0.524 0.899 Tl
0.250 0.750 0.500 Tl
0.476 0.375 0.625 Tl
0.625 0.250 0.101 Tl
0.750 0.851 0.375 Tl
0.209 0.102 0.763 I
0.340 0.447 0.237 I
0.353 0.003 0.215 I
0.553 0.791 0.893 I
0.787 0.137 0.785 I
0.863 0.647 0.650 I
0.898 0.660 0.107 I
0.997 0.213 0.350 I
```

E: -2.88 eV/atom
Energy relative to the elements, uncorrected: -0.822 eV/atom
Magnetic moment: 0.000 Bohr magnetons per cell